A relaxed structure of YNiPb2, computed with PBE.

```
YNiPb2
1.0
-1.943 -5.572 0.628
3.648 -3.930 -2.542
-0.577 4.146 4.206
Pb Y Ni
2 1 1
Direct
0.459 0.459 0.000
0.041 0.041 0.000
0.750 0.250 0.500
0.250 0.750 0.500
```

Results
ΔH_f (0 K)	-0.07	eV per atom
SG	Immm
polymorph energy (0 for the lowest one)	0.073	eV per atom
volume	97.0	Å³/f.u.
total energy	-19.959	eV/cell